AcZr2P4 | Alexandria via LeMat-Bulk | PBE | optimized geometry; volume = 312.1 Å³ per cell; total magnetic moment = 0.0 μB per formula unit; final energy = -100.30 eV for the cell shown
1.0
1.959 -6.265 0.000
1.959 6.265 0.000
0.000 0.000 12.718
Ac Zr P
2 4 8
direct
0.102 0.898 0.750
0.898 0.102 0.250
0.364 0.636 0.555
0.364 0.636 0.945
0.636 0.364 0.055
0.636 0.364 0.445
0.000 0.000 0.000
0.000 0.000 0.500
0.260 0.740 0.124
0.260 0.740 0.376
0.414 0.586 0.750
0.586 0.414 0.250
0.740 0.260 0.624
0.740 0.260 0.876

KTlAu2 | Alexandria via LeMat-Bulk | PBE | optimized geometry; volume = 120.4 Å³ per cell; total magnetic moment = 0.0 μB per formula unit; final energy = -10.57 eV for the cell shown
1.0
4.395 -2.416 0.000
4.395 2.416 0.000
-2.874 0.000 5.672
K Tl Au
1 1 2
direct
0.000 0.000 0.000
0.500 0.500 0.500
0.204 0.204 0.602
0.796 0.796 0.398

ScHg2As2 | Alexandria via LeMat-Bulk | PBE | optimized geometry; volume = 250.8 Å³ per cell; total magnetic moment = 0.0 μB per formula unit; final energy = -34.47 eV for the cell shown
1.0
6.817 0.000 0.000
0.000 6.817 0.000
0.000 0.000 5.397
Sc Hg As
2 4 4
direct
0.000 0.000 0.000
0.500 0.500 0.000
0.219 0.281 0.500
0.281 0.781 0.500
0.719 0.219 0.500
0.781 0.719 0.500
0.127 0.373 0.000
0.373 0.873 0.000
0.627 0.127 0.000
0.873 0.627 0.000

InGeP2S | Alexandria via LeMat-Bulk | PBE | optimized geometry; volume = 112.6 Å³ per cell; total magnetic moment = 0.6 μB per formula unit; formation energy without anion corrections = 57.88 kJ per mole of atoms
1.0
4.840 0.000 0.000
0.000 4.840 0.000
0.000 0.000 4.809
In Ge P S
1 1 2 1
direct
0.000 0.000 0.000
0.500 0.500 0.500
0.000 0.500 0.500
0.500 0.000 0.500
0.500 0.500 0.000

NdSmEr5Th2 | Alexandria via LeMat-Bulk | PBE | optimized geometry; volume = 595.3 Å³ per cell; total magnetic moment = 0.0 μB per formula unit; final energy = -88.39 eV for the cell shown
1.0
-4.436 4.436 7.564
4.436 -4.436 7.564
4.436 4.436 -7.564
Nd Sm Er Th
2 2 10 4
direct
0.250 0.250 0.000
0.750 0.750 0.000
0.250 0.750 0.500
0.750 0.250 0.500
0.000 0.000 0.000
0.070 0.570 0.914
0.156 0.070 0.500
0.344 0.844 0.914
0.430 0.344 0.500
0.500 0.500 0.000
0.570 0.656 0.500
0.656 0.156 0.086
0.844 0.930 0.500
0.930 0.430 0.086
0.118 0.382 0.500
0.382 0.882 0.263
0.618 0.118 0.737
0.882 0.618 0.500

Pm2Zn | Alexandria via LeMat-Bulk | PBE | optimized geometry; volume = 167.1 Å³ per cell; total magnetic moment = 0.0 μB per formula unit; final energy = -22.82 eV for the cell shown
1.0
3.664 0.000 0.000
0.000 3.664 0.000
0.000 0.000 12.446
Pm Zn
4 2
direct
0.000 0.000 0.000
0.000 0.000 0.290
0.000 0.000 0.710
0.500 0.500 0.500
0.500 0.500 0.146
0.500 0.500 0.854

Cs2TbScO4 | Alexandria via LeMat-Bulk | PBE | optimized geometry; volume = 280.2 Å³ per cell; total magnetic moment = 0.0 μB per formula unit; formation energy without anion corrections = -226.84 kJ per mole of atoms
1.0
-3.624 3.731 5.181
3.624 -3.731 5.181
3.624 3.731 -5.181
Cs Tb Sc O
4 2 2 8
direct
0.000 0.000 0.000
0.500 0.000 0.000
0.500 0.000 0.500
0.500 0.500 0.500
0.000 0.500 0.500
0.500 0.500 0.000
0.000 0.000 0.500
0.000 0.500 0.000
0.167 0.728 0.439
0.211 0.272 0.939
0.215 0.265 0.549
0.215 0.666 0.951
0.785 0.334 0.049
0.785 0.735 0.451
0.789 0.728 0.061
0.833 0.272 0.561

As5Ir4 | Alexandria via LeMat-Bulk | PBE | optimized geometry; volume = 146.6 Å³ per cell; total magnetic moment = 0.0 μB per formula unit; final energy = -55.03 eV for the cell shown
1.0
-4.232 4.232 2.045
4.232 -4.232 2.045
4.232 4.232 -2.045
As Ir
5 4
direct
0.000 0.000 0.000
0.325 0.325 0.651
0.325 0.675 0.000
0.675 0.325 0.000
0.675 0.675 0.349
0.000 0.338 0.338
0.000 0.662 0.662
0.338 0.000 0.338
0.662 0.000 0.662

D(E_F): 7.71; 1.39; 3.91; 4.33; 25.31; 5.80; 0.00; 7.53 (states/eV/cell)